a | A plane-wave DFT calculation with PBE-GGA was carried out for a relaxed structure of NdSmTlGa.

Values from the calculation:
DOS at the Fermi energy: 2.23 states/eV/cell

Lattice parameters (Å, degrees): 5.357 5.357 5.357 60.00 60.00 60.00
Fractional coordinates of all 4 atoms:
Tl 0.750 0.750 0.750
Nd 0.500 0.500 0.500
Ga 0.250 0.250 0.250
Sm 0.000 0.000 0.000


b | A plane-wave DFT calculation with PBE-GGA was carried out for a relaxed structure of NdSmTlGa.

Values from the calculation:
DOS at the Fermi energy: 2.00 states/eV/cell

Lattice parameters (Å, degrees): 3.726 3.726 7.795 90.00 90.00 90.00
Fractional coordinates of all 4 atoms:
Nd 0.500 0.500 0.124
Sm 0.500 0.500 0.590
Tl 0.000 0.000 0.853
Ga 0.000 0.000 0.361


Which structure wins on stability? b wins.